# 1
GGA+U Cs2NpCoO6, optimized geometry; crystal system = tetragonal; E_tot = -6.85 eV/atom; total moment = 1.94 μB per cell; symmetry = I4/mmm (139)
1.0
-3.6600 -4.2326 -0.2069
3.7553 -3.1117 -2.7511
2.0986 -5.6928 3.6067
Cs Np Co O
2 1 1 6
direct
0.7500 0.2500 0.5000 Cs
0.2500 0.7500 0.5000 Cs
0.0000 0.0000 0.0000 Np
0.5000 0.5000 0.0000 Co
0.1621 0.1621 0.6757 O
0.7333 0.7333 0.0000 O
0.2667 0.7332 0.0001 O
0.7333 0.2668 0.9999 O
0.2667 0.2667 0.0000 O
0.8379 0.8379 0.3243 O

---

# 2
GGA+U CsNpCoO6, optimized geometry; crystal system = monoclinic; E_tot = -7.21 eV/atom; total moment = 1.02 μB per cell; symmetry = C2 (5)
1.0
-1.0251 2.0889 -4.6685
-4.6800 -0.7522 -2.1770
-2.3533 5.6528 3.0679
Cs Np Co O
1 1 1 6
direct
0.0005 0.0004 0.0000 Cs
0.6660 0.6661 0.5000 Np
0.3293 0.3295 0.5000 Co
0.0229 0.3672 0.3413 O
0.3674 0.0231 0.6588 O
0.6072 0.3767 0.6597 O
0.0139 0.6164 0.6561 O
0.3765 0.6070 0.3403 O
0.6161 0.0137 0.3437 O

---

# 3
GGA+U Cs2NpCo2O6, optimized geometry; crystal system = trigonal; E_tot = -6.73 eV/atom; total moment = 5.34 μB per cell; symmetry = R-3m (166)
1.0
6.1531 0.0000 0.0000
3.0765 5.3287 0.0000
3.0765 1.7762 5.8303
Cs Np Co O
2 1 2 6
direct
0.7749 0.7749 0.6752 Cs
0.2251 0.2251 0.3248 Cs
0.0000 0.0000 0.0000 Np
0.4258 0.4258 0.7226 Co
0.5742 0.5742 0.2774 Co
0.7740 0.7740 0.2032 O
0.2487 0.7740 0.2032 O
0.7740 0.2487 0.2032 O
0.2260 0.7513 0.7968 O
0.7513 0.2260 0.7968 O
0.2260 0.2260 0.7968 O